{
  "formula": "TcSbCl",
  "functional": "PBE",
  "state": "relaxed",
  "lattice": [[4.167, -0.288, 0.524], [1.740, 6.424, 0.760], [0.572, 3.949, 5.799]],
  "species": ["Cl", "Cl", "Tc", "Tc", "Sb", "Sb"],
  "fractional_positions": [[0.458, 0.271, 0.937], [0.542, 0.729, 0.063], [0.417, 0.717, 0.754], [0.583, 0.283, 0.246], [0.937, 0.784, 0.487], [0.063, 0.216, 0.513]],
  "total_magnetization_mub_per_cell": 0.000,
  "raw_formation_energy_ev_per_fu": -0.013,
  "space_group": "P-1"
}